# 1
The following is a PBE-GGA calculation of a geometry-optimized HgGeW2Au structure, from the Alexandria database.

Output
Total magnetization ... 0.000 μB/cell
Formation energy from the elements ... 822 kJ/mol of formula units

Unit cell a=4.673 b=4.673 c=4.893 alpha=90.00 beta=90.00 gamma=90.00
Space group P4/mmm (No. 123)
Unique sites:
1 Hg 0.000 0.000 0.000
2 Ge 0.000 0.000 0.500
3 W 0.000 0.500 0.500
4 Au 0.500 0.500 0.000

# 2
The following is a PBE-GGA calculation of a geometry-optimized KMg2Mn structure, from the Alexandria database.

Output
Total magnetization ... 7.970 μB/cell
E above lowest polymorph ... 0.1305 eV per atom
Formation energy from the elements ... 186 kJ/mol of formula units

Unit cell a=9.467 b=3.125 c=7.840 alpha=90.00 beta=94.92 gamma=90.00
Space group C2/m (No. 12)
Unique sites:
1 K 0.000 0.000 0.000
2 Mg 0.231 0.000 0.666
3 Mn 0.000 0.500 0.500

# 3
The following is a PBE-GGA calculation of a geometry-optimized PdRhO structure, from the Alexandria database.

Output
Total magnetization ... 0.000 μB/cell
Formation energy from raw total energies ... 0.0242 eV/atom

Unit cell a=8.823 b=2.779 c=7.012 alpha=90.00 beta=103.34 gamma=90.00
Space group C2/m (No. 12)
Unique sites:
1 Pd 0.115 0.000 0.399
2 Rh 0.189 0.000 0.791
3 O 0.127 0.500 0.960

# 4
The following is a PBE-GGA calculation of a geometry-optimized Tl3PtSe structure, from the Alexandria database.

Output
Total magnetization ... 0.000 μB/cell
E above lowest polymorph ... 0.7719 eV per atom
Formation energy from raw total energies ... 0.6464 eV/atom

Unit cell a=5.676 b=5.676 c=5.676 alpha=90.00 beta=90.00 gamma=90.00
Space group Pm-3m (No. 221)
Unique sites:
1 Tl 0.000 0.000 0.500
2 Pt 0.500 0.500 0.500
3 Se 0.000 0.000 0.000

# 5
The following is a PBE-GGA calculation of a geometry-optimized Cd3Ga structure, from the Alexandria database.

Output
Total magnetization ... 0.000 μB/cell
Formation energy from the elements ... 21 kJ/mol of formula units

Unit cell a=6.3355 b=6.3355 c=5.0941 alpha=90.00 beta=90.00 gamma=120.00
Space group P6_3/mmc (No. 194)
Unique sites:
1 Cd 0.1678 0.3355 0.2500
2 Ga 0.3333 0.6667 0.7500

# 6
The following is a PBE-GGA calculation of a geometry-optimized Tb3V5H12 structure, from the Alexandria database.

Output
DFT total energy ... -834.2 eV per cell
Total magnetization ... 17.408 μB/cell

Unit cell a=11.543 b=11.543 c=11.543 alpha=90.00 beta=90.00 gamma=90.00
Space group Ia-3d (No. 230)
Unique sites:
1 Tb 0.000 0.250 0.125
2 V 0.000 0.000 0.000
3 V 0.000 0.250 0.375
4 H 0.024 0.059 0.644

What did the fifth record say?
The following is a PBE-GGA calculation of a geometry-optimized Cd3Ga structure, from the Alexandria database.

Output
Total magnetization ... 0.000 μB/cell
Formation energy from the elements ... 21 kJ/mol of formula units

Unit cell a=6.3355 b=6.3355 c=5.0941 alpha=90.00 beta=90.00 gamma=120.00
Space group P6_3/mmc (No. 194)
Unique sites:
1 Cd 0.1678 0.3355 0.2500
2 Ga 0.3333 0.6667 0.7500